(1)
VASP calculation (PBE) on Te5As3 after structural relaxation.

Cell: 9.006 9.091 8.776 Å, 103.34 102.90 124.04°
Element x y z (fractional)
As: 0.836 0.856 0.977
As: 0.053 0.614 0.743
As: 0.810 0.371 0.257
As: 0.359 0.379 0.023
As: 0.645 0.957 0.500
As: 0.224 0.076 0.500
Te: 0.844 0.131 0.889
Te: 0.002 0.875 0.743
Te: 0.759 0.632 0.257
Te: 0.511 0.084 0.922
Te: 0.338 0.414 0.725
Te: 0.295 0.745 0.500
Te: 0.089 0.662 0.078
Te: 0.455 0.742 0.111
Te: 0.112 0.188 0.275
Te: 0.662 0.273 0.500

Summary:
- formation energy without anion corrections (eV/f.u.) = 1.31
- SG = Cm
- Fermi-level density of states (states/eV/atom) = 0.271
- polymorph energy (0 for the lowest one) (meV per atom) = 0

---

(2)
VASP calculation (PBE) on Te3As after structural relaxation.

Cell: 8.526 8.526 4.517 Å, 90.00 90.00 126.94°
Element x y z (fractional)
Te: 0.078 0.422 0.750
Te: 0.922 0.578 0.250
Te: 0.065 0.935 0.750
Te: 0.935 0.065 0.250
Te: 0.422 0.078 0.250
Te: 0.578 0.922 0.750
As: 0.547 0.453 0.250
As: 0.453 0.547 0.750

Summary:
- formation energy without anion corrections (eV/f.u.) = 0.83
- SG = Cmcm
- Fermi-level density of states (states/eV/atom) = 0.622
- polymorph energy (0 for the lowest one) (meV per atom) = 135

---

(3)
VASP calculation (PBE) on Te3As after structural relaxation.

Cell: 3.719 3.719 7.607 Å, 90.00 90.00 90.00°
Element x y z (fractional)
Te: 0.500 0.500 0.783
Te: 0.000 0.000 0.500
Te: 0.500 0.500 0.217
As: 0.000 0.000 0.000

Summary:
- formation energy without anion corrections (eV/f.u.) = 1.44
- SG = P4/mmm
- Fermi-level density of states (states/eV/atom) = 0.774
- polymorph energy (0 for the lowest one) (meV per atom) = 287

---

(4)
VASP calculation (PBE) on Te5As4 after structural relaxation.

Cell: 8.523 8.523 7.448 Å, 90.00 90.00 120.00°
Element x y z (fractional)
Te: 0.000 0.746 0.250
Te: 0.000 0.254 0.750
Te: 0.333 0.667 0.000
Te: 0.333 0.667 0.500
Te: 0.254 0.000 0.750
Te: 0.254 0.254 0.250
Te: 0.746 0.746 0.750
Te: 0.667 0.333 0.000
Te: 0.746 0.000 0.250
Te: 0.667 0.333 0.500
As: 0.000 0.000 0.500
As: 0.000 0.402 0.250
As: 0.000 0.598 0.750
As: 0.402 0.000 0.250
As: 0.598 0.000 0.750
As: 0.598 0.598 0.250
As: 0.402 0.402 0.750
As: 0.000 0.000 0.000

Summary:
- formation energy without anion corrections (eV/f.u.) = 2.39
- SG = P6_3/mcm
- Fermi-level density of states (states/eV/atom) = 0.452
- polymorph energy (0 for the lowest one) (meV per atom) = 0

---

(5)
VASP calculation (PBE) on Te3As after structural relaxation.

Cell: 4.314 5.378 5.379 Å, 70.24 90.00 90.00°
Element x y z (fractional)
As: 0.000 0.000 0.000
Te: 0.000 0.500 0.500
Te: 0.500 0.768 0.768
Te: 0.500 0.232 0.232

Summary:
- formation energy without anion corrections (eV/f.u.) = 0.33
- SG = Cmmm
- Fermi-level density of states (states/eV/atom) = 0.562
- polymorph energy (0 for the lowest one) (meV per atom) = 8

---

(6)
VASP calculation (PBE) on Th2Te2As after structural relaxation.

Cell: 4.241 6.318 7.668 Å, 114.33 106.05 90.00°
Element x y z (fractional)
Te: 0.666 0.666 0.332
Te: 0.334 0.334 0.668
As: 0.000 0.000 0.000
Th: 0.350 0.850 0.699
Th: 0.650 0.150 0.301

Summary:
- formation energy without anion corrections (eV/f.u.) = -5.62
- SG = Immm
- Fermi-level density of states (states/eV/atom) = 0.515

---

(7)
VASP calculation (PBE) on Th2Te2As after structural relaxation.

Cell: 3.284 3.284 16.808 Å, 90.00 90.00 90.00°
Element x y z (fractional)
Th: 0.500 0.500 0.173
Th: 0.500 0.500 0.827
As: 0.500 0.500 0.000
Te: 0.500 0.500 0.639
Te: 0.500 0.500 0.361

Summary:
- formation energy without anion corrections (eV/f.u.) = 0.91
- SG = P4/mmm
- Fermi-level density of states (states/eV/atom) = 0.794

---

(8)
VASP calculation (PBE) on Th3Te2As after structural relaxation.

Cell: 7.606 7.658 7.590 Å, 80.54 59.93 70.85°
Element x y z (fractional)
Te: 0.845 0.500 0.310
Te: 0.500 0.500 0.000
Te: 0.155 0.500 0.690
Te: 0.000 0.000 0.000
Th: 0.080 0.767 0.351
Th: 0.569 0.233 0.351
Th: 0.431 0.767 0.649
Th: 0.920 0.233 0.649
Th: 0.282 0.218 0.000
Th: 0.718 0.782 0.000
As: 0.329 0.000 0.342
As: 0.671 0.000 0.658

Summary:
- formation energy without anion corrections (eV/f.u.) = -7.01
- SG = C2/m
- Fermi-level density of states (states/eV/atom) = 0.780

---

(9)
VASP calculation (PBE) on Th8TeAs6 after structural relaxation.

Cell: 4.286 10.873 10.873 Å, 120.00 90.00 90.00°
Element x y z (fractional)
Th: 0.258 0.665 0.959
Th: 0.258 0.041 0.706
Th: 0.742 0.335 0.041
Th: 0.746 0.333 0.667
Th: 0.742 0.959 0.294
Th: 0.258 0.294 0.335
Th: 0.254 0.667 0.333
Th: 0.742 0.706 0.665
As: 0.754 0.645 0.130
As: 0.754 0.485 0.355
As: 0.246 0.355 0.870
As: 0.754 0.870 0.515
As: 0.246 0.130 0.485
As: 0.246 0.515 0.645
Te: 0.500 0.000 0.000

Summary:
- formation energy without anion corrections (eV/f.u.) = -14.43
- SG = P-3
- Fermi-level density of states (states/eV/atom) = 0.787

---

(10)
VASP calculation (PBE) on Th5Te5As after structural relaxation.

Cell: 6.225 7.567 8.823 Å, 107.13 90.00 114.29°
Element x y z (fractional)
Te: 0.649 0.299 0.798
Te: 0.332 0.664 0.655
Te: 0.668 0.336 0.345
Te: 0.000 0.000 0.500
Te: 0.351 0.701 0.202
As: 0.000 0.000 0.000
Th: 0.833 0.665 0.143
Th: 0.843 0.687 0.690
Th: 0.167 0.335 0.857
Th: 0.500 0.000 0.000
Th: 0.157 0.313 0.310

Summary:
- formation energy without anion corrections (eV/f.u.) = -12.92
- SG = C2/m
- Fermi-level density of states (states/eV/atom) = 0.756

---

(11)
VASP calculation (PBE) on Th5TeAs4 after structural relaxation.

Cell: 4.279 7.462 9.604 Å, 75.27 77.13 73.34°
Element x y z (fractional)
Th: 0.000 0.500 0.500
Th: 0.611 0.670 0.108
Th: 0.207 0.900 0.685
Th: 0.389 0.330 0.892
Th: 0.793 0.100 0.315
Te: 0.000 0.000 0.000
As: 0.595 0.204 0.606
As: 0.204 0.386 0.205
As: 0.405 0.796 0.394
As: 0.796 0.614 0.795

Summary:
- formation energy without anion corrections (eV/f.u.) = -13.28
- SG = C2/m
- Fermi-level density of states (states/eV/atom) = 0.746

---

(12)
VASP calculation (PBE) on Th3Te3As after structural relaxation.

Cell: 7.841 7.841 8.026 Å, 90.60 90.60 110.62°
Element x y z (fractional)
Te: 0.231 0.769 0.000
Te: 0.838 0.162 0.500
Te: 0.374 0.374 0.645
Te: 0.162 0.838 0.500
Te: 0.769 0.231 0.000
Te: 0.626 0.626 0.355
Th: 0.516 0.817 0.685
Th: 0.817 0.516 0.685
Th: 0.055 0.055 0.792
Th: 0.945 0.945 0.208
Th: 0.183 0.484 0.315
Th: 0.484 0.183 0.315
As: 0.745 0.745 0.926
As: 0.255 0.255 0.074

Summary:
- formation energy without anion corrections (eV/f.u.) = -6.56
- SG = C2/m
- Fermi-level density of states (states/eV/atom) = 0.672

---

Which formula does entry 2 have?
Te3As

---

Among the records above, which one has the lowest formation energy without anion corrections?
Th8TeAs6

---

The lowest Fermi-level density of states belongs to which entry?
Te5As3